! VCdIn2O6 GGA+U relaxed; values from VASP
&SYSTEM
  ibrav = 0, nat = 10, ntyp = 4
/
ATOMIC_SPECIES
V 50.94 V.upf
Cd 112.41 Cd.upf
In 114.82 In.upf
O 16.00 O.upf
CELL_PARAMETERS angstrom
-5.221 1.402 0.413
-2.969 -2.012 4.184
-1.479 3.572 4.356
ATOMIC_POSITIONS angstrom
V -2.711 -0.032 1.690
Cd -7.492 1.685 6.324
In -4.940 1.177 4.268
In -1.564 3.384 4.163
O -4.010 1.154 2.237
O -4.312 -0.729 5.110
O -7.019 0.959 3.801
O -5.285 1.887 6.410
O -5.192 3.422 4.229
O -3.072 2.165 5.045
! ρ in g cm⁻³: 6.4
! E_tot in eV/atom: -5.91